Entry 1:
The following is a PBE calculation of a geometry-optimized Co2WBr structure, from Alexandria via LeMat-Bulk.

Raw formation energy: 1106 meV per atom
E_tot: -6.10 eV per atom
Mass density: 11.22 Mg/m³
Energy above the lowest structure with this stoichiometry: 64.4 kJ/mol of atoms

The structure in CIF format:
```
data_Co2WBr
_chemical_formula_sum 'Co2 W1 Br1'
_symmetry_space_group_name_H-M 'P 1'
_symmetry_Int_Tables_number 1
_symmetry_space_group_name_Hall 'P 1'
_cell_length_a 4.501
_cell_length_b 4.501
_cell_length_c 4.501
_cell_angle_alpha 126.90
_cell_angle_beta 126.90
_cell_angle_gamma 78.42
loop_
_atom_site_label
_atom_site_type_symbol
_atom_site_fract_x
_atom_site_fract_y
_atom_site_fract_z
_atom_site_occupancy
Br1 Br 0.750 0.250 0.500 1
Co1 Co 0.000 0.000 0.000 1
Co2 Co 0.500 0.500 0.000 1
W1 W 0.250 0.750 0.500 1
```



Entry 2:
The following is a PBE calculation of a geometry-optimized Co2WBr structure, from Alexandria via LeMat-Bulk.

Raw formation energy: 930 meV per atom
E_tot: -6.28 eV per atom
Mass density: 11.36 Mg/m³
Energy above the lowest structure with this stoichiometry: 47.4 kJ/mol of atoms

The structure in CIF format:
```
data_Co2WBr
_chemical_formula_sum 'Co2 W1 Br1'
_symmetry_space_group_name_H-M 'P 1'
_symmetry_Int_Tables_number 1
_symmetry_space_group_name_Hall 'P 1'
_cell_length_a 4.581
_cell_length_b 4.581
_cell_length_c 2.824
_cell_angle_alpha 90.07
_cell_angle_beta 90.07
_cell_angle_gamma 109.81
loop_
_atom_site_label
_atom_site_type_symbol
_atom_site_fract_x
_atom_site_fract_y
_atom_site_fract_z
_atom_site_occupancy
Br1 Br 0.000 0.500 0.500 1
Co1 Co 0.000 0.000 0.000 1
Co2 Co 0.500 0.500 0.000 1
W1 W 0.500 0.000 0.500 1
```



Entry 3:
The following is a PBE calculation of a geometry-optimized Co2WBr structure, from Alexandria via LeMat-Bulk.

Raw formation energy: 976 meV per atom
E_tot: -6.23 eV per atom
Mass density: 11.15 Mg/m³
Energy above the lowest structure with this stoichiometry: 51.8 kJ/mol of atoms

The structure in CIF format:
```
data_Co2WBr
_chemical_formula_sum 'Co2 W1 Br1'
_symmetry_space_group_name_H-M 'P 1'
_symmetry_Int_Tables_number 1
_symmetry_space_group_name_Hall 'P 1'
_cell_length_a 2.765
_cell_length_b 4.533
_cell_length_c 4.533
_cell_angle_alpha 90.00
_cell_angle_beta 90.00
_cell_angle_gamma 90.00
loop_
_atom_site_label
_atom_site_type_symbol
_atom_site_fract_x
_atom_site_fract_y
_atom_site_fract_z
_atom_site_occupancy
Br1 Br 0.500 0.000 0.500 1
Co1 Co 0.000 0.000 0.000 1
Co2 Co 0.000 0.500 0.500 1
W1 W 0.500 0.500 0.000 1
```



Entry 4:
The following is a PBE calculation of a geometry-optimized Co2WBr structure, from Alexandria via LeMat-Bulk.

Raw formation energy: 967 meV per atom
E_tot: -6.24 eV per atom
Mass density: 11.50 Mg/m³
Energy above the lowest structure with this stoichiometry: 51.0 kJ/mol of atoms

The structure in CIF format:
```
data_Co2WBr
_chemical_formula_sum 'Co2 W1 Br1'
_symmetry_space_group_name_H-M 'P 1'
_symmetry_Int_Tables_number 1
_symmetry_space_group_name_Hall 'P 1'
_cell_length_a 4.271
_cell_length_b 4.271
_cell_length_c 4.271
_cell_angle_alpha 60.00
_cell_angle_beta 60.00
_cell_angle_gamma 60.00
loop_
_atom_site_label
_atom_site_type_symbol
_atom_site_fract_x
_atom_site_fract_y
_atom_site_fract_z
_atom_site_occupancy
Br1 Br 0.500 0.500 0.500 1
Co1 Co 0.000 0.000 0.000 1
Co2 Co 0.250 0.250 0.250 1
W1 W 0.750 0.750 0.750 1
```



Entry 5:
The following is a PBE calculation of a geometry-optimized CoW2Br structure, from Alexandria via LeMat-Bulk.

Raw formation energy: 914 meV per atom
E_tot: -7.76 eV per atom
Mass density: 13.13 Mg/m³
Energy above the lowest structure with this stoichiometry: 37.4 kJ/mol of atoms

The structure in CIF format:
```
data_CoW2Br
_chemical_formula_sum 'Co1 W2 Br1'
_symmetry_space_group_name_H-M 'P 1'
_symmetry_Int_Tables_number 1
_symmetry_space_group_name_Hall 'P 1'
_cell_length_a 4.942
_cell_length_b 4.942
_cell_length_c 4.513
_cell_angle_alpha 84.92
_cell_angle_beta 84.92
_cell_angle_gamma 35.70
loop_
_atom_site_label
_atom_site_type_symbol
_atom_site_fract_x
_atom_site_fract_y
_atom_site_fract_z
_atom_site_occupancy
Br1 Br 0.750 0.750 0.750 1
Co1 Co 0.250 0.250 0.250 1
W1 W 0.976 0.976 0.031 1
W2 W 0.524 0.524 0.469 1
```



Entry 6:
The following is a PBE calculation of a geometry-optimized CoW2Br structure, from Alexandria via LeMat-Bulk.

Raw formation energy: 1064 meV per atom
E_tot: -7.61 eV per atom
Mass density: 13.29 Mg/m³
Energy above the lowest structure with this stoichiometry: 51.9 kJ/mol of atoms

The structure in CIF format:
```
data_CoW2Br
_chemical_formula_sum 'Co1 W2 Br1'
_symmetry_space_group_name_H-M 'P 1'
_symmetry_Int_Tables_number 1
_symmetry_space_group_name_Hall 'P 1'
_cell_length_a 3.021
_cell_length_b 4.510
_cell_length_c 4.643
_cell_angle_alpha 90.00
_cell_angle_beta 90.00
_cell_angle_gamma 90.00
loop_
_atom_site_label
_atom_site_type_symbol
_atom_site_fract_x
_atom_site_fract_y
_atom_site_fract_z
_atom_site_occupancy
Br1 Br 0.500 0.000 0.500 1
Co1 Co 0.000 0.500 0.500 1
W1 W 0.000 0.000 0.000 1
W2 W 0.500 0.500 0.000 1
```



Entry 7:
The following is a PBE calculation of a geometry-optimized CoW2Br structure, from Alexandria via LeMat-Bulk.

Raw formation energy: 1175 meV per atom
E_tot: -7.50 eV per atom
Mass density: 13.50 Mg/m³
Energy above the lowest structure with this stoichiometry: 62.6 kJ/mol of atoms

The structure in CIF format:
```
data_CoW2Br
_chemical_formula_sum 'Co1 W2 Br1'
_symmetry_space_group_name_H-M 'P 1'
_symmetry_Int_Tables_number 1
_symmetry_space_group_name_Hall 'P 1'
_cell_length_a 4.928
_cell_length_b 4.928
_cell_length_c 2.858
_cell_angle_alpha 90.00
_cell_angle_beta 90.00
_cell_angle_gamma 116.20
loop_
_atom_site_label
_atom_site_type_symbol
_atom_site_fract_x
_atom_site_fract_y
_atom_site_fract_z
_atom_site_occupancy
Br1 Br 0.500 0.000 0.500 1
Co1 Co 0.000 0.500 0.500 1
W1 W 0.000 0.000 0.000 1
W2 W 0.500 0.500 0.000 1
```



Entry 8:
The following is a PBE calculation of a geometry-optimized CoW3Br structure, from Alexandria via LeMat-Bulk.

Raw formation energy: 1839 meV per atom
E_tot: -7.69 eV per atom
Mass density: 12.20 Mg/m³
Energy above the lowest structure with this stoichiometry: 0.0 kJ/mol of atoms

The structure in CIF format:
```
data_CoW3Br
_chemical_formula_sum 'Co1 W3 Br1'
_symmetry_space_group_name_H-M 'P 1'
_symmetry_Int_Tables_number 1
_symmetry_space_group_name_Hall 'P 1'
_cell_length_a 4.546
_cell_length_b 4.546
_cell_length_c 4.546
_cell_angle_alpha 90.00
_cell_angle_beta 90.00
_cell_angle_gamma 90.00
loop_
_atom_site_label
_atom_site_type_symbol
_atom_site_fract_x
_atom_site_fract_y
_atom_site_fract_z
_atom_site_occupancy
Co1 Co 0.000 0.000 0.000 1
Br1 Br 0.500 0.500 0.500 1
W1 W 0.000 0.500 0.000 1
W2 W 0.000 0.000 0.500 1
W3 W 0.500 0.000 0.000 1
```



- Which of these has the lowest raw formation energy?
  number 5